Entry from Alexandria via LeMat-Bulk: a geometry-optimized AlP3 structure (PBE).

## Properties
energy relative to the elements = 0.1217 eV/atom
symmetry = Cmcm (63)

Cell lengths 7.3465, 7.3465, 3.2185 Å; angles 90.00, 90.00, 119.79 degrees
With the nearest neighbours (Å) after each atom.
Positions (direct):
Al1 0.0850 0.9150 0.7500  2 P 2.42, 2 Al 2.69
Al2 0.9150 0.0850 0.2500  2 P 2.42, 2 Al 2.69
P1 0.0802 0.4640 0.2500  2 P 2.21, 1 Al 2.42
P2 0.4427 0.5573 0.7500  2 P 2.17
P3 0.4640 0.0802 0.7500  2 P 2.21, 1 Al 2.42
P4 0.5360 0.9198 0.2500  2 P 2.21, 1 Al 2.42
P5 0.5573 0.4427 0.2500  2 P 2.17
P6 0.9198 0.5360 0.7500  2 P 2.21, 1 Al 2.42

Entry from Alexandria via LeMat-Bulk: a geometry-optimized Al2P3 structure (PBE).

## Properties
energy relative to the elements = 0.0205 eV/atom
symmetry = Fdd2 (43)

Cell lengths 6.2834, 5.8548, 7.4517 Å; angles 54.78, 49.57, 75.65 degrees
With the nearest neighbours (Å) after each atom.
Positions (direct):
Al1 0.0901 0.9099 0.3118  5 P 2.40-2.66
Al2 0.5618 0.9382 0.3401  5 P 2.40-2.66
Al3 0.9099 0.0901 0.6882  5 P 2.40-2.66
Al4 0.9382 0.5618 0.1599  5 P 2.40-2.66
P1 0.1045 0.6193 0.7390  4 Al 2.40-2.66, 1 P 2.41
P2 0.1374 0.1374 0.8626  2 P 2.41, 2 Al 2.61
P3 0.3874 0.3874 0.1126  2 P 2.41, 2 Al 2.61
P4 0.5110 0.7128 0.1455  4 Al 2.40-2.66, 1 P 2.41
P5 0.6193 0.1045 0.5372  4 Al 2.40-2.66, 1 P 2.41
P6 0.7128 0.5110 0.6307  4 Al 2.40-2.66, 1 P 2.41

Entry from Alexandria via LeMat-Bulk: a geometry-optimized Al2P structure (PBE).

## Properties
energy relative to the elements = -0.1464 eV/atom
symmetry = P-3m1 (164)

Cell lengths 3.5671, 3.5671, 4.8482 Å; angles 90.00, 90.00, 120.00 degrees
With the nearest neighbours (Å) after each atom.
Positions (direct):
Al1 0.3333 0.6667 0.2932  3 P 2.50
Al2 0.6667 0.3333 0.7068  3 P 2.50
P1 0.0000 0.0000 0.0000  6 Al 2.50

Entry from Alexandria via LeMat-Bulk: a geometry-optimized AlP structure (PBE).

## Properties
energy relative to the elements = -0.3066 eV/atom
symmetry = P2_1/m (11)

Cell lengths 3.9595, 3.9579, 6.0878 Å; angles 90.00, 90.12, 90.00 degrees
With the nearest neighbours (Å) after each atom.
Positions (direct):
Al1 0.2499 0.2500 0.0001  4 P 2.42
Al2 0.7501 0.7500 0.9999  4 P 2.42
P1 0.2493 0.7500 0.7699  4 Al 2.42
P2 0.7507 0.2500 0.2301  4 Al 2.42

| no. | magnetization (μB/f.u.) |
| --- | --- |
| 1 | 0.00 |
| 2 | 0.00 |
| 3 | 0.00 |
| 4 | 0.00 |